This record from Alexandria describes a relaxed structure of HoNb2Ga6. The functional is PBE.

Lattice parameters (Å, degrees): 7.409 7.409 7.409 148.78 126.20 63.53
Sites, in units of the cell vectors:
Ho  0.000  0.000  0.000
Nb  0.383  0.883  0.500
Nb  0.617  0.117  0.500
Ga  0.014  0.311  0.703
Ga  0.312  0.500  0.812
Ga  0.392  0.689  0.703
Ga  0.608  0.311  0.297
Ga  0.688  0.500  0.188
Ga  0.986  0.689  0.297

Values from the calculation:
As for the total moment: 0.000 μB/f.u. Its symmetry is Immm (71). For the total energy, the calculation gives -45.2 eV/cell. The calculation puts the formation energy at -0.262 eV/atom.

***

This record from Alexandria describes a relaxed structure of CuSeCl2. The functional is PBE.

Lattice parameters (Å, degrees): 7.929 7.929 7.929 153.69 153.69 37.55
Sites, in units of the cell vectors:
Cu  0.000  0.000  0.000
Se  0.250  0.750  0.500
Cl  0.500  0.500  0.000
Cl  0.750  0.250  0.500

Values from the calculation:
As for the total moment: 0.000 μB/f.u. Its symmetry is I-4m2 (119). The formation energy without anion corrections comes out at 0.1589 eV/atom. The energy above the most stable polymorph in this dataset comes out at 456 meV per atom. For the total energy, the calculation gives -10.6 eV/cell.

***

What is the total moment in the second record? 0.000 μB/f.u.